[1]
## TlZnIr (SCAN)

Data for TlZnIr at its PBEsol-relaxed geometry. Values from VASP.

Properties
M_tot ... 0.0000 μB/atom
Space group ... F-43m

```
&SYSTEM
  ibrav = 0, nat = 3, ntyp = 3
/
ATOMIC_SPECIES
Tl 204.38 Tl.upf
Zn 65.41 Zn.upf
Ir 192.22 Ir.upf
CELL_PARAMETERS angstrom
0.000 3.011 3.011
3.011 0.000 3.011
3.011 3.011 0.000
ATOMIC_POSITIONS angstrom
Tl 0.000 0.000 0.000
Zn 4.517 4.517 4.517
Ir 3.011 3.011 3.011
```

[2]
## TlZn2Ir (SCAN)

Data for TlZn2Ir at its PBEsol-relaxed geometry. Values from VASP.

Properties
M_tot ... 0.0000 μB/atom
Space group ... P4/mmm

```
&SYSTEM
  ibrav = 0, nat = 4, ntyp = 3
/
ATOMIC_SPECIES
Tl 204.38 Tl.upf
Zn 65.41 Zn.upf
Ir 192.22 Ir.upf
CELL_PARAMETERS angstrom
3.038 0.000 0.000
0.000 3.038 0.000
0.000 0.000 7.536
ATOMIC_POSITIONS angstrom
Tl 0.000 0.000 0.000
Zn 1.519 1.519 2.348
Zn 1.519 1.519 5.188
Ir 0.000 0.000 3.768
```

[3]
## TlZn2Ir (SCAN)

Data for TlZn2Ir at its PBEsol-relaxed geometry. Values from VASP.

Properties
M_tot ... 0.0000 μB/atom
Space group ... F-43m

```
&SYSTEM
  ibrav = 0, nat = 4, ntyp = 3
/
ATOMIC_SPECIES
Tl 204.38 Tl.upf
Zn 65.41 Zn.upf
Ir 192.22 Ir.upf
CELL_PARAMETERS angstrom
0.000 3.178 3.178
3.178 0.000 3.178
3.178 3.178 0.000
ATOMIC_POSITIONS angstrom
Tl 0.000 0.000 0.000
Zn 1.589 1.589 1.589
Zn 3.178 3.178 3.178
Ir 4.766 4.766 4.766
```

[4]
## TlZnIr2 (SCAN)

Data for TlZnIr2 at its PBEsol-relaxed geometry. Values from VASP.

Properties
M_tot ... 0.0000 μB/atom
Space group ... Pmmm

```
&SYSTEM
  ibrav = 0, nat = 4, ntyp = 3
/
ATOMIC_SPECIES
Tl 204.38 Tl.upf
Zn 65.41 Zn.upf
Ir 192.22 Ir.upf
CELL_PARAMETERS angstrom
2.919 0.000 0.000
0.000 4.479 0.000
0.000 0.000 4.873
ATOMIC_POSITIONS angstrom
Tl 0.000 0.000 0.000
Zn 1.459 0.000 2.437
Ir 0.000 2.239 2.437
Ir 1.459 2.239 0.000
```

| no. | DFT formation energy (meV per atom) | calculated volume (Å³/f.u.) | DOS at the Fermi energy (states/eV/cell) |
| --- | --- | --- | --- |
| 1 | 476.5 | 55 | 1.0 |
| 2 | 36.2 | 70 | 1.2 |
| 3 | 355.0 | 64 | 1.4 |
| 4 | 435.7 | 64 | 1.9 |